1.
The following is a DFT calculation (PBE-GGA) of crystalline BaRh2C at its relaxed geometry.

abc: 5.9460 5.9460 5.9460
angles: 110.00 110.00 108.42
Closest atoms and distances in Å follow each position.
Sites, in units of the cell vectors:
Ba 0.0000 0.0000 0.0000  8 Rh 3.15-3.51, 2 C 3.48
Ba 0.7500 0.2500 0.5000  8 Rh 3.15-3.51, 2 C 3.48
Rh 0.3062 0.1250 0.6812  2 C 1.97
Rh 0.3750 0.6938 0.8188  2 C 1.97
Rh 0.4438 0.6250 0.3188  2 C 1.97
Rh 0.8750 0.5562 0.1812  2 C 1.97
C 0.2500 0.7500 0.5000  4 Rh 1.97
C 0.5000 0.5000 0.0000  4 Rh 1.97

Calculated values
The calculation puts the total energy at -6.462 eV/atom. For the total magnetization, the calculation gives 0.00 μB per cell. The density of states at the Fermi level is 0.32 states/eV/f.u. The value obtained for the formation energy is 1 meV per atom. The space group is I-42d (122).

2.
The following is a DFT calculation (PBE-GGA) of crystalline Li3Np2O8 at its relaxed geometry.

abc: 6.2344 6.2344 5.0376
angles: 102.90 102.90 66.94
Closest atoms and distances in Å follow each position.
Sites, in units of the cell vectors:
Li 0.0000 0.0000 0.0000  2 O 2.10
Li 0.2525 0.7475 0.5000  4 O 2.04-2.16
Li 0.7475 0.2525 0.5000  4 O 2.04-2.16
Np 0.2574 0.2574 0.5412  2 O 1.86-1.89
Np 0.7426 0.7426 0.4588  2 O 1.86-1.89
O 0.0808 0.6313 0.7041  1 Li 2.04, 2 Np 2.13-2.20
O 0.1256 0.1256 0.7361  1 Np 1.89, 1 Li 2.10
O 0.3687 0.9192 0.2959  1 Li 2.04, 2 Np 2.13-2.20
O 0.3778 0.3778 0.3261  1 Np 1.86
O 0.6222 0.6222 0.6739  1 Np 1.86
O 0.6313 0.0808 0.7041  1 Li 2.04, 2 Np 2.13-2.20
O 0.8744 0.8744 0.2639  1 Np 1.89, 1 Li 2.10
O 0.9192 0.3687 0.2959  1 Li 2.04, 2 Np 2.13-2.20

Calculated values
The calculation puts the total energy at -7.917 eV/atom. For the total magnetization, the calculation gives 1.00 μB per cell. The density of states at the Fermi level is 6.23 states/eV/f.u. The energy relative to the elements, uncorrected comes out at -2.43 eV per atom. The space group is C2/m (12).